[1]
# AgHgPt2 | Alexandria | PBEsol | relaxed
data_AgHgPt2
_cell_length_a 2.808
_cell_length_b 4.826
_cell_length_c 4.864
_cell_angle_alpha 90.00
_cell_angle_beta 91.02
_cell_angle_gamma 90.00
_symmetry_space_group_name_H-M 'P 1'
_symmetry_Int_Tables_number 1
loop_
_symmetry_equiv_pos_as_xyz
'x,y,z'
loop_
_atom_site_label
_atom_site_type_symbol
_atom_site_fract_x
_atom_site_fract_y
_atom_site_fract_z
Ag1 Ag 0.000 0.000 0.000
Hg1 Hg 0.500 0.000 0.500
Pt1 Pt 0.254 0.500 0.753
Pt2 Pt 0.746 0.500 0.247
# energy of formation from the pure elements	0.03	eV per atom
# total energy	-17.7	eV for the cell shown
# space-group type	No. 10

=====

[2]
# SrMgCr3 | Alexandria | PBEsol | relaxed
data_SrMgCr3
_cell_length_a 4.988
_cell_length_b 4.988
_cell_length_c 4.988
_cell_angle_alpha 90.00
_cell_angle_beta 90.00
_cell_angle_gamma 90.00
_symmetry_space_group_name_H-M 'P 1'
_symmetry_Int_Tables_number 1
loop_
_symmetry_equiv_pos_as_xyz
'x,y,z'
loop_
_atom_site_label
_atom_site_type_symbol
_atom_site_fract_x
_atom_site_fract_y
_atom_site_fract_z
Sr1 Sr 0.000 0.000 0.000
Mg1 Mg 0.500 0.500 0.500
Cr1 Cr 0.000 0.000 0.500
Cr2 Cr 0.000 0.500 0.000
Cr3 Cr 0.500 0.000 0.000
# energy of formation from the pure elements	2.32	eV per atom
# total energy	-22.7	eV for the cell shown
# space-group type	No. 221

=====

[3]
# PtPbCl3 | Alexandria | PBEsol | relaxed
data_PtPbCl3
_cell_length_a 5.343
_cell_length_b 5.343
_cell_length_c 5.343
_cell_angle_alpha 90.00
_cell_angle_beta 90.00
_cell_angle_gamma 90.00
_symmetry_space_group_name_H-M 'P 1'
_symmetry_Int_Tables_number 1
loop_
_symmetry_equiv_pos_as_xyz
'x,y,z'
loop_
_atom_site_label
_atom_site_type_symbol
_atom_site_fract_x
_atom_site_fract_y
_atom_site_fract_z
Pt1 Pt 0.000 0.000 0.000
Pb1 Pb 0.500 0.500 0.500
Cl1 Cl 0.000 0.500 0.500
Cl2 Cl 0.500 0.000 0.500
Cl3 Cl 0.500 0.500 0.000
# total energy	-14.7	eV for the cell shown
# formation energy without anion corrections	0.461	eV/atom
# space-group type	No. 221

=====

Which value of total energy does entry 3 give?
-14.7 eV for the cell shown

=====

Among the records above, which one has the lowest total energy?
SrMgCr3